[1]
A plane-wave DFT calculation with PBE with a Hubbard U was carried out for NdCoAsO after structural relaxation.

Computed properties:
DFT total energy	-4.843	eV per atom
energy relative to the lowest polymorph listed for this composition	1.6062	eV per atom
mass density	5.5	g/cm³
calculated volume	178	Å³ per cell
total magnetic moment	0.9	μB per formula unit

Geometry as CIF:
```
data_NdCoAsO
_cell_length_a 4.383
_cell_length_b 4.383
_cell_length_c 9.254
_cell_angle_alpha 90.00
_cell_angle_beta 90.00
_cell_angle_gamma 90.00
_symmetry_space_group_name_H-M 'P 1'
_symmetry_Int_Tables_number 1
loop_
_symmetry_equiv_pos_as_xyz
'x,y,z'
loop_
_atom_site_label
_atom_site_type_symbol
_atom_site_fract_x
_atom_site_fract_y
_atom_site_fract_z
Nd1 Nd 0.250 0.750 0.000
Nd2 Nd 0.750 0.250 0.000
Co1 Co 0.250 0.250 0.479
Co2 Co 0.750 0.750 0.521
As1 As 0.250 0.250 0.200
As2 As 0.750 0.750 0.800
O1 O 0.250 0.750 0.500
O2 O 0.750 0.250 0.500
```



[2]
A plane-wave DFT calculation with PBE with a Hubbard U was carried out for NdCoAsO after structural relaxation.

Computed properties:
DFT total energy	-6.190	eV per atom
energy relative to the lowest polymorph listed for this composition	0.2602	eV per atom
mass density	5.8	g/cm³
calculated volume	167	Å³ per cell
total magnetic moment	3.0	μB per formula unit

Geometry as CIF:
```
data_NdCoAsO
_cell_length_a 4.437
_cell_length_b 6.265
_cell_length_c 6.012
_cell_angle_alpha 90.00
_cell_angle_beta 90.00
_cell_angle_gamma 90.00
_symmetry_space_group_name_H-M 'P 1'
_symmetry_Int_Tables_number 1
loop_
_symmetry_equiv_pos_as_xyz
'x,y,z'
loop_
_atom_site_label
_atom_site_type_symbol
_atom_site_fract_x
_atom_site_fract_y
_atom_site_fract_z
Nd1 Nd 0.000 0.241 0.000
Nd2 Nd 0.000 0.759 0.500
Co1 Co 0.500 0.374 0.625
Co2 Co 0.500 0.626 0.125
As1 As 0.000 0.235 0.501
As2 As 0.000 0.765 0.001
O1 O 0.500 0.348 0.964
O2 O 0.500 0.652 0.464
```



[3]
A plane-wave DFT calculation with PBE with a Hubbard U was carried out for NdCoAsO after structural relaxation.

Computed properties:
DFT total energy	-6.450	eV per atom
energy relative to the lowest polymorph listed for this composition	0.0000	eV per atom
mass density	7.4	g/cm³
calculated volume	132	Å³ per cell
total magnetic moment	0.6	μB per formula unit

Geometry as CIF:
```
data_NdCoAsO
_cell_length_a 4.036
_cell_length_b 4.036
_cell_length_c 8.079
_cell_angle_alpha 90.00
_cell_angle_beta 90.00
_cell_angle_gamma 90.00
_symmetry_space_group_name_H-M 'P 1'
_symmetry_Int_Tables_number 1
loop_
_symmetry_equiv_pos_as_xyz
'x,y,z'
loop_
_atom_site_label
_atom_site_type_symbol
_atom_site_fract_x
_atom_site_fract_y
_atom_site_fract_z
Nd1 Nd 0.250 0.250 0.147
Nd2 Nd 0.750 0.750 0.853
Co1 Co 0.250 0.750 0.500
Co2 Co 0.750 0.250 0.500
As1 As 0.250 0.250 0.638
As2 As 0.750 0.750 0.362
O1 O 0.250 0.750 0.000
O2 O 0.750 0.250 0.000
```



[4]
A plane-wave DFT calculation with PBE with a Hubbard U was carried out for NdCoAsO after structural relaxation.

Computed properties:
DFT total energy	-6.193	eV per atom
energy relative to the lowest polymorph listed for this composition	0.2563	eV per atom
mass density	7.4	g/cm³
calculated volume	132	Å³ per cell
total magnetic moment	1.9	μB per formula unit

Geometry as CIF:
```
data_NdCoAsO
_cell_length_a 4.372
_cell_length_b 4.201
_cell_length_c 7.165
_cell_angle_alpha 90.00
_cell_angle_beta 90.00
_cell_angle_gamma 90.00
_symmetry_space_group_name_H-M 'P 1'
_symmetry_Int_Tables_number 1
loop_
_symmetry_equiv_pos_as_xyz
'x,y,z'
loop_
_atom_site_label
_atom_site_type_symbol
_atom_site_fract_x
_atom_site_fract_y
_atom_site_fract_z
Nd1 Nd 0.000 0.249 0.000
Nd2 Nd 0.000 0.751 0.500
Co1 Co 0.500 0.251 0.349
Co2 Co 0.500 0.749 0.849
As1 As 0.500 0.249 0.678
As2 As 0.500 0.751 0.178
O1 O 0.000 0.250 0.333
O2 O 0.000 0.750 0.833
```



> Among the records above, which one has the lowest total magnetic moment?

number 3



What did the fourth record say?
A plane-wave DFT calculation with PBE with a Hubbard U was carried out for NdCoAsO after structural relaxation.

Computed properties:
DFT total energy	-6.193	eV per atom
energy relative to the lowest polymorph listed for this composition	0.2563	eV per atom
mass density	7.4	g/cm³
calculated volume	132	Å³ per cell
total magnetic moment	1.9	μB per formula unit

Geometry as CIF:
```
data_NdCoAsO
_cell_length_a 4.372
_cell_length_b 4.201
_cell_length_c 7.165
_cell_angle_alpha 90.00
_cell_angle_beta 90.00
_cell_angle_gamma 90.00
_symmetry_space_group_name_H-M 'P 1'
_symmetry_Int_Tables_number 1
loop_
_symmetry_equiv_pos_as_xyz
'x,y,z'
loop_
_atom_site_label
_atom_site_type_symbol
_atom_site_fract_x
_atom_site_fract_y
_atom_site_fract_z
Nd1 Nd 0.000 0.249 0.000
Nd2 Nd 0.000 0.751 0.500
Co1 Co 0.500 0.251 0.349
Co2 Co 0.500 0.749 0.849
As1 As 0.500 0.249 0.678
As2 As 0.500 0.751 0.178
O1 O 0.000 0.250 0.333
O2 O 0.000 0.750 0.833
```



> What is the energy relative to the lowest polymorph listed for this composition in the second record?

0.2602 eV per atom



> Number 3 is which compound?

NdCoAsO